1.
TlReAu2 | PBE | relaxed

```
data_TlReAu2
_space_group_name_H-M_alt 'R -3 m'
_space_group_IT_number 166
_space_group_name_Hall '-R 3 2"'
_cell_length_a 2.9817
_cell_length_b 2.9817
_cell_length_c 29.6399
_cell_angle_alpha 90.00
_cell_angle_beta 90.00
_cell_angle_gamma 120.00
loop_
_atom_site_label
_atom_site_type_symbol
_atom_site_fract_x
_atom_site_fract_y
_atom_site_fract_z
Tl1 Tl 0.0000 0.0000 0.0000
Re1 Re 0.0000 0.0000 0.5000
Au1 Au 0.0000 0.0000 0.2418
```

Computed properties:
crystal system	trigonal
E above lowest polymorph	64	meV per atom
volume	76	Å³/f.u.
formation energy from the elements	0.58	eV/atom
mass density	17.1	Mg/m³
N(E_F)	18.25	states/eV/cell

=====

2.
AcSb2Pt4 | PBE | relaxed

```
data_AcSb2Pt4
_space_group_name_H-M_alt 'P 1 21/c 1'
_space_group_IT_number 14
_cell_length_a 4.8255
_cell_length_b 7.2875
_cell_length_c 17.5813
_cell_angle_alpha 90.00
_cell_angle_beta 91.14
_cell_angle_gamma 90.00
loop_
_space_group_symop_operation_xyz
'x,y,z'
'-x,-y,-z'
'-x,y+1/2,-z+1/2'
'x,-y+1/2,z+1/2'
loop_
_atom_site_label
_atom_site_type_symbol
_atom_site_fract_x
_atom_site_fract_y
_atom_site_fract_z
Ac1 Ac 0.2369 0.0094 0.3559
Sb1 Sb 0.2657 0.5334 0.2973
Sb2 Sb 0.2722 0.7340 0.5284
Pt1 Pt 0.0380 0.0787 0.0793
Pt2 Pt 0.2571 0.6915 0.6869
Pt3 Pt 0.2655 0.1094 0.5230
Pt4 Pt 0.2671 0.2427 0.2058
```

Computed properties:
crystal system	monoclinic
volume	155	Å³/f.u.
mass density	13.4	Mg/m³
raw formation energy	-4.93	eV per formula unit
N(E_F)	10.05	states/eV/cell

=====

3.
Rb3HoSc2S6 | PBE | relaxed

```
data_Rb3HoSc2S6
_space_group_name_H-M_alt 'C 1 2/m 1'
_space_group_IT_number 12
_cell_length_a 6.8175
_cell_length_b 11.8073
_cell_length_c 7.9629
_cell_angle_alpha 90.00
_cell_angle_beta 106.60
_cell_angle_gamma 90.00
loop_
_space_group_symop_operation_xyz
'x,y,z'
'-x,-y,-z'
'-x,y,-z'
'x,-y,z'
'x+1/2,y+1/2,z'
'-x+1/2,-y+1/2,-z'
'-x+1/2,y+1/2,-z'
'x+1/2,-y+1/2,z'
loop_
_atom_site_label
_atom_site_type_symbol
_atom_site_fract_x
_atom_site_fract_y
_atom_site_fract_z
Rb1 Rb 0.0000 0.0000 0.0000
Rb2 Rb 0.0000 0.3352 0.0000
Ho1 Ho 0.0000 0.5000 0.5000
Sc1 Sc 0.0000 0.1668 0.5000
S1 S 0.2173 0.0000 0.6852
S2 S 0.2342 0.3277 0.6859
```

Computed properties:
crystal system	monoclinic
volume	307	Å³/f.u.
mass density	3.8	Mg/m³
raw formation energy	-21.06	eV per formula unit
N(E_F)	0.00	states/eV/cell

=====

4.
Zn2InB2Ir5 | PBE | relaxed

```
data_Zn2InB2Ir5
_space_group_name_H-M_alt 'P 4/m b m'
_space_group_IT_number 127
_space_group_name_Hall '-P 4 2ab'
_cell_length_a 9.7041
_cell_length_b 9.7041
_cell_length_c 2.9419
_cell_angle_alpha 90.00
_cell_angle_beta 90.00
_cell_angle_gamma 90.00
loop_
_atom_site_label
_atom_site_type_symbol
_atom_site_fract_x
_atom_site_fract_y
_atom_site_fract_z
Zn1 Zn 0.1786 0.3214 0.0000
In1 In 0.0000 0.0000 0.0000
B1 B 0.1240 0.6240 0.0000
Ir1 Ir 0.0000 0.5000 0.5000
Ir2 Ir 0.0709 0.7756 0.5000
```

Computed properties:
crystal system	tetragonal
volume	139	Å³/f.u.
formation energy from the elements	-0.13	eV/atom
mass density	14.7	Mg/m³
N(E_F)	7.98	states/eV/cell

=====

5.
ZnAgSb2Te | PBE | relaxed

```
data_ZnAgSb2Te
_space_group_name_H-M_alt 'P 4/m m m'
_space_group_IT_number 123
_space_group_name_Hall '-P 4 2'
_cell_length_a 5.3904
_cell_length_b 5.3904
_cell_length_c 5.4862
_cell_angle_alpha 90.00
_cell_angle_beta 90.00
_cell_angle_gamma 90.00
loop_
_atom_site_label
_atom_site_type_symbol
_atom_site_fract_x
_atom_site_fract_y
_atom_site_fract_z
Zn1 Zn 0.0000 0.0000 0.0000
Ag1 Ag 0.5000 0.5000 0.5000
Sb1 Sb 0.0000 0.5000 0.5000
Te1 Te 0.5000 0.5000 0.0000
```

Computed properties:
crystal system	tetragonal
E above lowest polymorph	107	meV per atom
volume	159	Å³/f.u.
mass density	5.7	Mg/m³
raw formation energy	3.62	eV per formula unit
N(E_F)	6.02	states/eV/cell

=====

6.
GaHgSb2I | PBE | relaxed

```
data_GaHgSb2I
_space_group_name_H-M_alt 'P 4/m m m'
_space_group_IT_number 123
_space_group_name_Hall '-P 4 2'
_cell_length_a 5.3949
_cell_length_b 5.3949
_cell_length_c 5.8207
_cell_angle_alpha 90.00
_cell_angle_beta 90.00
_cell_angle_gamma 90.00
loop_
_atom_site_label
_atom_site_type_symbol
_atom_site_fract_x
_atom_site_fract_y
_atom_site_fract_z
Ga1 Ga 0.0000 0.0000 0.0000
Hg1 Hg 0.5000 0.5000 0.5000
Sb1 Sb 0.0000 0.5000 0.0000
I1 I 0.0000 0.0000 0.5000
```

Computed properties:
crystal system	tetragonal
E above lowest polymorph	0	meV per atom
volume	169	Å³/f.u.
mass density	6.3	Mg/m³
raw formation energy	2.08	eV per formula unit
N(E_F)	4.21	states/eV/cell

=====

7.
Y8As4P3S | PBE | relaxed

```
data_Y8As4P3S
_space_group_name_H-M_alt 'R -3 m'
_space_group_IT_number 166
_space_group_name_Hall '-R 3 2"'
_cell_length_a 8.1182
_cell_length_b 8.1182
_cell_length_c 19.8904
_cell_angle_alpha 90.00
_cell_angle_beta 90.00
_cell_angle_gamma 120.00
loop_
_atom_site_label
_atom_site_type_symbol
_atom_site_fract_x
_atom_site_fract_y
_atom_site_fract_z
Y1 Y 0.0000 0.0000 0.2477
Y2 Y 0.0034 0.5017 0.7516
As1 As 0.0000 0.0000 0.0000
As2 As 0.0000 0.5000 0.0000
P1 P 0.0000 0.5000 0.5000
S1 S 0.0000 0.0000 0.5000
```

Computed properties:
crystal system	trigonal
volume	378	Å³/f.u.
mass density	5.0	Mg/m³
raw formation energy	-26.67	eV per formula unit
N(E_F)	10.93	states/eV/cell

=====

8.
KMnBe2 | PBE | relaxed

```
data_KMnBe2
_space_group_name_H-M_alt 'I m m m'
_space_group_IT_number 71
_space_group_name_Hall '-I 2 2'
_cell_length_a 2.7126
_cell_length_b 5.6802
_cell_length_c 10.0364
_cell_angle_alpha 90.00
_cell_angle_beta 90.00
_cell_angle_gamma 90.00
loop_
_atom_site_label
_atom_site_type_symbol
_atom_site_fract_x
_atom_site_fract_y
_atom_site_fract_z
K1 K 0.0000 0.0000 0.0000
Mn1 Mn 0.0000 0.0000 0.5000
Be1 Be 0.0000 0.5000 0.1862
```

Computed properties:
crystal system	orthorhombic
E above lowest polymorph	627	meV per atom
volume	77	Å³/f.u.
formation energy from the elements	1.08	eV/atom
mass density	2.4	Mg/m³
N(E_F)	6.19	states/eV/cell

=====

Please write out number 1 again, unchanged.
TlReAu2 | PBE | relaxed

```
data_TlReAu2
_space_group_name_H-M_alt 'R -3 m'
_space_group_IT_number 166
_space_group_name_Hall '-R 3 2"'
_cell_length_a 2.9817
_cell_length_b 2.9817
_cell_length_c 29.6399
_cell_angle_alpha 90.00
_cell_angle_beta 90.00
_cell_angle_gamma 120.00
loop_
_atom_site_label
_atom_site_type_symbol
_atom_site_fract_x
_atom_site_fract_y
_atom_site_fract_z
Tl1 Tl 0.0000 0.0000 0.0000
Re1 Re 0.0000 0.0000 0.5000
Au1 Au 0.0000 0.0000 0.2418
```

Computed properties:
crystal system	trigonal
E above lowest polymorph	64	meV per atom
volume	76	Å³/f.u.
formation energy from the elements	0.58	eV/atom
mass density	17.1	Mg/m³
N(E_F)	18.25	states/eV/cell